Material: BaBePb
Method: DFT, SCAN
State: PBEsol geometry

abc: 3.6284 3.6284 6.6951
angles: 105.72 105.72 90.00
With the nearest neighbours (Å) after each atom.
Positions (direct):
Pb (0.7065, 0.7065, 0.4129)  4 Be 2.83
Be (0.3021, 0.3021, 0.6042)  4 Pb 2.83
Ba (0.9914, 0.9914, 0.9828)  5 Be 3.47-3.84, 5 Pb 3.52-3.70, 4 Ba 3.63

Values from the calculation:
E_tot in eV per atom: -39.7762
Energy relative to the elements in eV/atom: 0.119